Record 1
VASP calculation (GGA-PBE) on an optimized crystal structure of Pm2Ho2Pd15.

Cell and atoms, written as extended XYZ:
```
19
Lattice="4.6186 2.6666 4.7207 -4.6186 2.6666 4.7207 0.0000 -5.3331 4.7207" Properties=species:S:1:pos:R:3 pbc="T T T"
Pm 0.0000 0.0000 1.9674
Pm 0.0000 0.0000 12.1948
Ho 0.0000 0.0000 5.5479
Ho 0.0000 0.0000 8.6143
Pd -2.3093 -1.3333 4.7207
Pd 0.0000 -2.7138 4.5278
Pd -2.3503 1.3569 4.5278
Pd -1.4134 -2.4480 7.0811
Pd -2.8267 0.0000 7.0811
Pd -2.3502 -1.3569 9.6344
Pd -2.3093 1.3333 9.4415
Pd 1.4133 -2.4480 7.0811
Pd 0.0000 2.6665 4.7207
Pd -1.4133 2.4480 7.0811
Pd 2.3502 1.3569 4.5278
Pd 2.8267 0.0000 7.0811
Pd 1.4133 2.4480 7.0811
Pd 2.3502 -1.3569 9.6345
Pd 0.0000 2.7138 9.6345
```

Values from the calculation:
- Total magnetization: 0.000 Bohr magnetons per cell
- Fermi-level density of states: 0.90 states/eV per atom
- Calculated formation energy: -0.573 eV per atom
- Calculated total energy: -5.655 eV/atom
- Symmetry: R-3m (166)

=====

Record 2
VASP calculation (GGA-PBE) on an optimized crystal structure of Sm7MgAl4.

Cell and atoms, written as extended XYZ:
```
12
Lattice="6.9673 -2.8378 0.0000 6.9673 2.8378 0.0000 -5.8014 0.0000 8.5567" Properties=species:S:1:pos:R:3 pbc="T T T"
Sm 0.0000 0.0000 0.0000
Sm -0.8513 0.0000 5.6698
Sm 3.4518 0.0000 0.9849
Sm 2.4644 0.0000 5.2662
Sm 5.6688 0.0000 3.2905
Sm 4.6814 0.0000 7.5718
Sm 8.9844 0.0000 2.8868
Mg 6.9673 0.0000 0.0000
Al -3.6904 0.0000 6.4364
Al 0.5214 0.0000 2.8660
Al 7.6117 0.0000 5.6907
Al 11.8235 0.0000 2.1203
```

Values from the calculation:
- Total magnetization: 0.000 Bohr magnetons per cell
- Fermi-level density of states: 1.19 states/eV per atom
- Calculated formation energy: -0.074 eV per atom
- Calculated total energy: -4.207 eV/atom
- Symmetry: C2/m (12)

=====

The lowest calculated formation energy belongs to which entry?
Pm2Ho2Pd15

=====

What is the calculated formation energy in the second record?
-0.074 eV per atom

=====

The lowest Fermi-level density of states belongs to which entry?
Pm2Ho2Pd15

=====

Please write out number 2 again, unchanged.
VASP calculation (GGA-PBE) on an optimized crystal structure of Sm7MgAl4.

Cell and atoms, written as extended XYZ:
```
12
Lattice="6.9673 -2.8378 0.0000 6.9673 2.8378 0.0000 -5.8014 0.0000 8.5567" Properties=species:S:1:pos:R:3 pbc="T T T"
Sm 0.0000 0.0000 0.0000
Sm -0.8513 0.0000 5.6698
Sm 3.4518 0.0000 0.9849
Sm 2.4644 0.0000 5.2662
Sm 5.6688 0.0000 3.2905
Sm 4.6814 0.0000 7.5718
Sm 8.9844 0.0000 2.8868
Mg 6.9673 0.0000 0.0000
Al -3.6904 0.0000 6.4364
Al 0.5214 0.0000 2.8660
Al 7.6117 0.0000 5.6907
Al 11.8235 0.0000 2.1203
```

Values from the calculation:
- Total magnetization: 0.000 Bohr magnetons per cell
- Fermi-level density of states: 1.19 states/eV per atom
- Calculated formation energy: -0.074 eV per atom
- Calculated total energy: -4.207 eV/atom
- Symmetry: C2/m (12)